1.
Computed, not measured: an optimized crystal structure of Ca3FeNi at the PBE level of DFT.

Lattice parameters (Å, degrees): 5.311 5.311 5.311 90.00 90.00 90.00
Space group Pm-3m (No. 221)
One atom of each set of equivalent atoms:
Ca1 0.000 0.000 0.500 (multiplicity 3)
Fe1 0.500 0.500 0.500 (multiplicity 1)
Ni1 0.000 0.000 0.000 (multiplicity 1)

Results
* crystal system: cubic

=====

2.
Computed, not measured: an optimized crystal structure of CaFe3Ni at the PBE level of DFT.

Lattice parameters (Å, degrees): 4.483 4.483 4.483 90.00 90.00 90.00
Space group Pm-3m (No. 221)
One atom of each set of equivalent atoms:
Ca1 0.000 0.000 0.000 (multiplicity 1)
Fe1 0.000 0.500 0.500 (multiplicity 3)
Ni1 0.500 0.500 0.500 (multiplicity 1)

Results
* crystal system: cubic

=====

3.
Computed, not measured: an optimized crystal structure of CaFe4Ni at the PBE level of DFT.

Lattice parameters (Å, degrees): 7.005 7.005 7.005 90.00 90.00 90.00
Space group F-43m (No. 216)
One atom of each set of equivalent atoms:
Ca1 0.000 0.000 0.000 (multiplicity 4)
Fe1 0.125 0.125 0.625 (multiplicity 16)
Ni1 0.250 0.250 0.250 (multiplicity 4)

Results
* crystal system: cubic

=====

4.
Computed, not measured: an optimized crystal structure of Ca4FeNi at the PBE level of DFT.

Lattice parameters (Å, degrees): 8.945 8.945 8.945 90.00 90.00 90.00
Space group F-43m (No. 216)
One atom of each set of equivalent atoms:
Ca1 0.125 0.125 0.125 (multiplicity 16)
Fe1 0.250 0.250 0.750 (multiplicity 4)
Ni1 0.000 0.000 0.500 (multiplicity 4)

Results
* crystal system: cubic

=====

5.
Computed, not measured: an optimized crystal structure of CaFeNiP2 at the PBE level of DFT.

Lattice parameters (Å, degrees): 3.876 3.876 9.628 90.00 90.00 90.00
Space group I-4m2 (No. 119)
One atom of each set of equivalent atoms:
Ca1 0.000 0.000 0.000 (multiplicity 2)
Fe1 0.000 0.500 0.250 (multiplicity 2)
Ni1 0.000 0.500 0.750 (multiplicity 2)
P1 0.000 0.000 0.371 (multiplicity 4)

Results
* crystal system: tetragonal

=====

6.
Computed, not measured: an optimized crystal structure of Ca2FeNi3P4 at the PBE level of DFT.

Lattice parameters (Å, degrees): 3.965 3.965 9.300 90.00 90.00 90.00
Space group P-4m2 (No. 115)
One atom of each set of equivalent atoms:
Ca1 0.000 0.500 0.245 (multiplicity 2)
Fe1 0.000 0.000 0.500 (multiplicity 1)
Ni1 0.000 0.500 0.880 (multiplicity 2)
Ni2 0.500 0.500 0.500 (multiplicity 1)
P1 0.000 0.000 0.000 (multiplicity 1)
P2 0.000 0.500 0.630 (multiplicity 2)
P3 0.500 0.500 0.000 (multiplicity 1)

Results
* crystal system: tetragonal

=====

7.
Computed, not measured: an optimized crystal structure of CaFeNiP2 at the PBE level of DFT.

Lattice parameters (Å, degrees): 5.014 5.014 4.350 90.00 90.00 90.00
Space group P4/mmm (No. 123)
One atom of each set of equivalent atoms:
Ca1 0.000 0.000 0.000 (multiplicity 1)
Fe1 0.000 0.000 0.500 (multiplicity 1)
Ni1 0.500 0.500 0.500 (multiplicity 1)
P1 0.000 0.500 0.000 (multiplicity 2)

Results
* crystal system: tetragonal

=====

8.
Computed, not measured: an optimized crystal structure of CaFeNiP at the PBE level of DFT.

Lattice parameters (Å, degrees): 3.636 3.636 10.154 90.00 90.00 90.00
Space group P4/nmm (No. 129, origin choice 2)
One atom of each set of equivalent atoms:
Ca1 0.250 0.250 0.229 (multiplicity 2)
Fe1 0.250 0.750 0.500 (multiplicity 2)
Ni1 0.250 0.750 0.000 (multiplicity 2)
P1 0.250 0.250 0.620 (multiplicity 2)

Results
* crystal system: tetragonal

=====

9.
Computed, not measured: an optimized crystal structure of CaFeSi2Ni at the PBE level of DFT.

Lattice parameters (Å, degrees): 3.916 3.916 9.942 90.00 90.00 90.00
Space group I-4m2 (No. 119)
One atom of each set of equivalent atoms:
Ca1 0.000 0.000 0.000 (multiplicity 2)
Fe1 0.000 0.500 0.750 (multiplicity 2)
Si1 0.000 0.000 0.370 (multiplicity 4)
Ni1 0.000 0.500 0.250 (multiplicity 2)

Results
* ΔE_f (raw): -0.559 eV/atom
* crystal system: tetragonal

=====

10.
Computed, not measured: an optimized crystal structure of CaTi2FeNi at the PBE level of DFT.

Lattice parameters (Å, degrees): 4.562 4.562 4.570 90.00 90.00 90.00
Space group P4/mmm (No. 123)
One atom of each set of equivalent atoms:
Ca1 0.000 0.000 0.000 (multiplicity 1)
Ti1 0.000 0.500 0.500 (multiplicity 2)
Fe1 0.500 0.500 0.000 (multiplicity 1)
Ni1 0.500 0.500 0.500 (multiplicity 1)

Results
* crystal system: tetragonal

=====

11.
Computed, not measured: an optimized crystal structure of CaNpFe4 at the PBE level of DFT.

Lattice parameters (Å, degrees): 7.213 7.213 7.213 90.00 90.00 90.00
Space group F-43m (No. 216)
One atom of each set of equivalent atoms:
Ca1 0.000 0.000 0.000 (multiplicity 4)
Np1 0.250 0.250 0.250 (multiplicity 4)
Fe1 0.125 0.125 0.625 (multiplicity 16)

Results
* crystal system: cubic

=====

Number 1: uncorrected energy -17.78 eV/cell. Number 2: uncorrected energy -30.00 eV/cell. Number 3: uncorrected energy -160.22 eV/cell. Number 4: uncorrected energy -63.36 eV/cell. Number 5: uncorrected energy -62.14 eV/cell. Number 6: uncorrected energy -59.23 eV/cell. Number 7: uncorrected energy -17.32 eV/cell. Number 8: uncorrected energy -46.77 eV/cell. Number 9: uncorrected energy -59.78 eV/cell. Number 10: uncorrected energy -29.14 eV/cell. Number 11: uncorrected energy -190.22 eV/cell.